Ta2MoAu after structural relaxation, computed with GGA-PBE.

Unit cell a=2.8105 b=4.3451 c=5.8407 alpha=90.00 beta=101.57 gamma=90.00
With the nearest neighbours (Å) after each atom.
Fractional positions:
Ta (0.0832, 0.0000, 0.2652)  2 Mo 2.71, 3 Ta 2.81-2.87, 2 Au 2.96
Ta (0.9168, 0.0000, 0.7348)  2 Mo 2.71, 3 Ta 2.81-2.87, 2 Au 2.96
Mo (0.5000, 0.5000, 0.5000)  4 Ta 2.71, 2 Mo 2.81, 2 Au 2.92
Au (0.5000, 0.5000, 0.0000)  2 Au 2.81, 2 Mo 2.92, 8 Ta 2.96-3.04

## Properties
The value obtained for the formation energy is 0.017 eV/atom. The space-group type is P2/m, No. 10. Its crystal system is monoclinic. Its theoretical density is 15.6 g/cm3. The relative energy among the computed polymorphs comes out at 103 meV per atom.


Ta2MoAu after structural relaxation, computed with GGA-PBE.

Unit cell a=4.6238 b=4.6238 c=4.6238 alpha=60.00 beta=60.00 gamma=60.00
With the nearest neighbours (Å) after each atom.
Fractional positions:
Ta (0.2500, 0.2500, 0.2500)  4 Mo 2.83, 4 Au 2.83
Ta (0.7500, 0.7500, 0.7500)  4 Mo 2.83, 4 Au 2.83
Mo (0.0000, 0.0000, 0.0000)  8 Ta 2.83
Au (0.5000, 0.5000, 0.5000)  8 Ta 2.83

## Properties
The value obtained for the formation energy is 0.060 eV/atom. The space-group type is Fm-3m, No. 225. Its crystal system is cubic. Its theoretical density is 15.6 g/cm3. The relative energy among the computed polymorphs comes out at 146 meV per atom.


TaMo2Au after structural relaxation, computed with GGA-PBE.

Unit cell a=2.7643 b=2.7643 c=9.1956 alpha=90.00 beta=90.00 gamma=106.38
With the nearest neighbours (Å) after each atom.
Fractional positions:
Ta (0.0000, 0.0000, 0.0000)  4 Ta 2.76, 4 Mo 2.81
Mo (0.5000, 0.5000, 0.2473)  4 Mo 2.76, 2 Ta 2.81, 2 Au 2.85
Mo (0.5000, 0.5000, 0.7527)  4 Mo 2.76, 2 Ta 2.81, 2 Au 2.85
Au (0.0000, 0.0000, 0.5000)  4 Au 2.76, 4 Mo 2.85

## Properties
The value obtained for the formation energy is 0.085 eV/atom. The space-group type is Cmmm, No. 65. Its crystal system is orthorhombic. Its theoretical density is 14.0 g/cm3. The relative energy among the computed polymorphs comes out at 37 meV per atom.


TaMo2Au after structural relaxation, computed with GGA-PBE.

Unit cell a=2.7426 b=4.6473 c=5.4217 alpha=90.00 beta=100.31 gamma=90.00
With the nearest neighbours (Å) after each atom.
Fractional positions:
Ta (0.0000, 0.0000, 0.0000)  2 Ta 2.74, 4 Mo 2.80, 2 Au 2.81
Mo (0.2660, 0.5000, 0.7685)  3 Mo 2.61-2.74, 2 Ta 2.80, 2 Au 2.87
Mo (0.7340, 0.5000, 0.2315)  3 Mo 2.61-2.74, 2 Ta 2.80, 2 Au 2.87
Au (0.5000, 0.0000, 0.5000)  2 Au 2.74, 2 Ta 2.81, 4 Mo 2.87

## Properties
The value obtained for the formation energy is 0.175 eV/atom. The space-group type is P2/m, No. 10. Its crystal system is monoclinic. Its theoretical density is 13.9 g/cm3. The relative energy among the computed polymorphs comes out at 127 meV per atom.


TaMo2Au after structural relaxation, computed with GGA-PBE.

Unit cell a=2.6704 b=4.3757 c=5.8025 alpha=90.00 beta=90.00 gamma=90.00
With the nearest neighbours (Å) after each atom.
Fractional positions:
Ta (0.0000, 0.0000, 0.0000)  2 Ta 2.67, 2 Au 2.90, 8 Mo 2.94
Mo (0.5000, 0.5000, 0.2476)  4 Mo 2.67-2.93, 4 Ta 2.94, 4 Au 2.95
Mo (0.5000, 0.5000, 0.7524)  4 Mo 2.67-2.93, 4 Ta 2.94, 4 Au 2.95
Au (0.0000, 0.0000, 0.5000)  2 Au 2.67, 2 Ta 2.90, 8 Mo 2.95

## Properties
The value obtained for the formation energy is 0.228 eV/atom. The space-group type is Pmmm, No. 47. Its crystal system is orthorhombic. Its theoretical density is 14.0 g/cm3. The relative energy among the computed polymorphs comes out at 179 meV per atom.


Ta2MoAu after structural relaxation, computed with GGA-PBE.

Unit cell a=10.0793 b=10.0793 c=10.0793 alpha=16.35 beta=16.35 gamma=16.35
With the nearest neighbours (Å) after each atom.
Fractional positions:
Ta (0.2494, 0.2494, 0.2494)  6 Ta 2.87, 3 Au 2.97, 3 Mo 3.00
Ta (0.7506, 0.7506, 0.7506)  6 Ta 2.87, 3 Au 2.97, 3 Mo 3.00
Mo (0.0000, 0.0000, 0.0000)  6 Mo 2.87, 6 Ta 3.00
Au (0.5000, 0.5000, 0.5000)  6 Au 2.87, 6 Ta 2.97

## Properties
The value obtained for the formation energy is 0.224 eV/atom. The space-group type is R-3m, No. 166. Its crystal system is trigonal. Its theoretical density is 15.4 g/cm3. The relative energy among the computed polymorphs comes out at 310 meV per atom.